A plane-wave DFT calculation with GGA-PBE was carried out for BAuI after structural relaxation.

Output
Calculated total energy, Ry per atom: -0.2447
Relative energy among the computed polymorphs, meV/atom: 188
Density, g/cm³: 7.67
Magnetization, μB per formula unit: 0.0

a = 6.3351 Å, b = 3.6129 Å, c = 6.6256 Å
α = 90.00°, β = 107.24°, γ = 90.00°
Closest atoms and distances in Å follow each position.
Space group Cm (No. 8)
One atom of each set of equivalent atoms:
B (0.0000, 0.0000, 0.0000) x2  1 I 2.16, 3 Au 2.21
Au (0.2979, 0.0000, 0.8917) x2  3 B 2.21
I (0.1051, 0.0000, 0.3412) x2  1 B 2.16